Density functional theory data (meta-GGA SCAN) for a PBEsol-optimized structure of KFe2Tc.

Results
Energy relative to the lowest polymorph listed for this composition: 116 meV per atom
Formation energy from the elements: 0.797 eV/atom
M_tot: 5.100 μB per cell

Cell lengths 2.651, 4.398, 6.841 Å; angles 92.09, 90.00, 107.54 degrees
Fractional coordinates of all 4 atoms:
1 Fe 0.759 0.518 0.865
2 Fe 0.241 0.482 0.135
3 K 0.000 0.000 0.500
4 Tc 0.500 0.000 0.000